(A)
The following is a DFT calculation (PBE) of an optimized crystal structure of Mo2PN.

Crystal system = monoclinic

Unit cell a=5.292 b=5.292 c=12.647 alpha=103.07 beta=103.07 gamma=59.61
Positions (direct):
Mo: 0.037 0.858 0.622
Mo: 0.142 0.963 0.878
Mo: 0.189 0.381 0.093
Mo: 0.303 0.443 0.397
Mo: 0.381 0.189 0.593
Mo: 0.443 0.303 0.897
Mo: 0.557 0.697 0.103
Mo: 0.619 0.811 0.407
Mo: 0.697 0.557 0.603
Mo: 0.811 0.619 0.907
Mo: 0.858 0.037 0.122
Mo: 0.963 0.142 0.378
P: 0.082 0.273 0.747
P: 0.273 0.082 0.247
P: 0.448 0.552 0.750
P: 0.552 0.448 0.250
P: 0.727 0.918 0.753
P: 0.918 0.727 0.253
N: 0.000 0.500 0.500
N: 0.153 0.709 0.001
N: 0.291 0.847 0.499
N: 0.500 0.000 0.000
N: 0.709 0.153 0.501
N: 0.847 0.291 0.999


(B)
The following is a DFT calculation (PBE) of an optimized crystal structure of Mo2PN.

Crystal system = hexagonal

Unit cell a=3.013 b=3.013 c=12.458 alpha=90.00 beta=90.00 gamma=120.00
Positions (direct):
Mo: 0.333 0.667 0.108
Mo: 0.333 0.667 0.392
Mo: 0.667 0.333 0.608
Mo: 0.667 0.333 0.892
P: 0.333 0.667 0.750
P: 0.667 0.333 0.250
N: 0.000 0.000 0.000
N: 0.000 0.000 0.500


Short version: (A), (B), most stable first.


(A)
The following is a DFT calculation (PBE) of an optimized crystal structure of Mo2SN.

Crystal system = monoclinic

Unit cell a=5.738 b=5.738 c=11.367 alpha=102.89 beta=102.89 gamma=59.20
Positions (direct):
Mo: 0.061 0.858 0.597
Mo: 0.142 0.939 0.903
Mo: 0.180 0.326 0.087
Mo: 0.315 0.462 0.416
Mo: 0.326 0.180 0.587
Mo: 0.462 0.315 0.916
Mo: 0.538 0.685 0.084
Mo: 0.674 0.820 0.413
Mo: 0.685 0.538 0.584
Mo: 0.820 0.674 0.913
Mo: 0.858 0.061 0.097
Mo: 0.939 0.142 0.403
S: 0.101 0.249 0.761
S: 0.249 0.101 0.261
S: 0.425 0.575 0.750
S: 0.575 0.425 0.250
S: 0.751 0.899 0.739
S: 0.899 0.751 0.239
N: 0.000 0.500 0.500
N: 0.172 0.664 0.035
N: 0.336 0.828 0.465
N: 0.500 0.000 0.000
N: 0.664 0.172 0.535
N: 0.828 0.336 0.965


(B)
The following is a DFT calculation (PBE) of an optimized crystal structure of Mo2SN.

Crystal system = hexagonal

Unit cell a=2.999 b=2.999 c=12.570 alpha=90.00 beta=90.00 gamma=120.00
Positions (direct):
Mo: 0.333 0.667 0.108
Mo: 0.333 0.667 0.392
Mo: 0.667 0.333 0.608
Mo: 0.667 0.333 0.892
S: 0.333 0.667 0.750
S: 0.667 0.333 0.250
N: 0.000 0.000 0.000
N: 0.000 0.000 0.500


Short version: (A), (B), most stable first.


(A)
The following is a DFT calculation (PBE) of an optimized crystal structure of NaYMoOs.

Crystal system = cubic

Unit cell a=6.673 b=6.673 c=6.673 alpha=90.00 beta=90.00 gamma=90.00
Positions (direct):
Na: 0.000 0.000 0.000
Na: 0.000 0.500 0.500
Na: 0.500 0.000 0.500
Na: 0.500 0.500 0.000
Y: 0.250 0.250 0.250
Y: 0.250 0.750 0.750
Y: 0.750 0.250 0.750
Y: 0.750 0.750 0.250
Mo: 0.250 0.250 0.750
Mo: 0.250 0.750 0.250
Mo: 0.750 0.250 0.250
Mo: 0.750 0.750 0.750
Os: 0.000 0.000 0.500
Os: 0.000 0.500 0.000
Os: 0.500 0.000 0.000
Os: 0.500 0.500 0.500


(B)
The following is a DFT calculation (PBE) of an optimized crystal structure of NaYMoOs.

Crystal system = cubic

Unit cell a=6.794 b=6.794 c=6.794 alpha=90.00 beta=90.00 gamma=90.00
Positions (direct):
Na: 0.000 0.000 0.000
Na: 0.000 0.500 0.500
Na: 0.500 0.000 0.500
Na: 0.500 0.500 0.000
Y: 0.000 0.000 0.500
Y: 0.000 0.500 0.000
Y: 0.500 0.000 0.000
Y: 0.500 0.500 0.500
Mo: 0.250 0.250 0.250
Mo: 0.250 0.750 0.750
Mo: 0.750 0.250 0.750
Mo: 0.750 0.750 0.250
Os: 0.250 0.250 0.750
Os: 0.250 0.750 0.250
Os: 0.750 0.250 0.250
Os: 0.750 0.750 0.750


Short version: (A), (B), most stable first.


(A)
The following is a DFT calculation (PBE) of an optimized crystal structure of NaSbTeMo.

Crystal system = cubic

Unit cell a=7.002 b=7.002 c=7.002 alpha=90.00 beta=90.00 gamma=90.00
Positions (direct):
Na: 0.000 0.000 0.000
Na: 0.000 0.500 0.500
Na: 0.500 0.000 0.500
Na: 0.500 0.500 0.000
Sb: 0.250 0.250 0.750
Sb: 0.250 0.750 0.250
Sb: 0.750 0.250 0.250
Sb: 0.750 0.750 0.750
Te: 0.250 0.250 0.250
Te: 0.250 0.750 0.750
Te: 0.750 0.250 0.750
Te: 0.750 0.750 0.250
Mo: 0.000 0.000 0.500
Mo: 0.000 0.500 0.000
Mo: 0.500 0.000 0.000
Mo: 0.500 0.500 0.500


(B)
The following is a DFT calculation (PBE) of an optimized crystal structure of NaSbTeMo.

Crystal system = cubic

Unit cell a=7.185 b=7.185 c=7.185 alpha=90.00 beta=90.00 gamma=90.00
Positions (direct):
Na: 0.000 0.000 0.000
Na: 0.000 0.500 0.500
Na: 0.500 0.000 0.500
Na: 0.500 0.500 0.000
Sb: 0.000 0.000 0.500
Sb: 0.000 0.500 0.000
Sb: 0.500 0.000 0.000
Sb: 0.500 0.500 0.500
Te: 0.250 0.250 0.250
Te: 0.250 0.750 0.750
Te: 0.750 0.250 0.750
Te: 0.750 0.750 0.250
Mo: 0.250 0.250 0.750
Mo: 0.250 0.750 0.250
Mo: 0.750 0.250 0.250
Mo: 0.750 0.750 0.750


Short version: (A), (B), most stable first.


(A)
The following is a DFT calculation (PBE) of an optimized crystal structure of NaThMo.

Crystal system = cubic

Unit cell a=6.826 b=6.826 c=6.826 alpha=90.00 beta=90.00 gamma=90.00
Positions (direct):
Na: 0.000 0.000 0.000
Na: 0.000 0.500 0.500
Na: 0.500 0.000 0.500
Na: 0.500 0.500 0.000
Th: 0.250 0.250 0.750
Th: 0.250 0.750 0.250
Th: 0.750 0.250 0.250
Th: 0.750 0.750 0.750
Mo: 0.000 0.000 0.500
Mo: 0.000 0.500 0.000
Mo: 0.500 0.000 0.000
Mo: 0.500 0.500 0.500


(B)
The following is a DFT calculation (PBE) of an optimized crystal structure of NaThMo.

Crystal system = cubic

Unit cell a=6.735 b=6.735 c=6.735 alpha=90.00 beta=90.00 gamma=90.00
Positions (direct):
Na: 0.000 0.000 0.000
Na: 0.000 0.500 0.500
Na: 0.500 0.000 0.500
Na: 0.500 0.500 0.000
Th: 0.000 0.000 0.500
Th: 0.000 0.500 0.000
Th: 0.500 0.000 0.000
Th: 0.500 0.500 0.500
Mo: 0.250 0.250 0.250
Mo: 0.250 0.750 0.750
Mo: 0.750 0.250 0.750
Mo: 0.750 0.750 0.250


Short version: (B), (A), most stable first.


(A)
The following is a DFT calculation (PBE) of an optimized crystal structure of NpNbMo.

Crystal system = cubic

Unit cell a=6.231 b=6.231 c=6.231 alpha=90.00 beta=90.00 gamma=90.00
Positions (direct):
Np: 0.000 0.000 0.000
Np: 0.000 0.500 0.500
Np: 0.500 0.000 0.500
Np: 0.500 0.500 0.000
Nb: 0.250 0.250 0.250
Nb: 0.250 0.750 0.750
Nb: 0.750 0.250 0.750
Nb: 0.750 0.750 0.250
Mo: 0.250 0.250 0.750
Mo: 0.250 0.750 0.250
Mo: 0.750 0.250 0.250
Mo: 0.750 0.750 0.750


(B)
The following is a DFT calculation (PBE) of an optimized crystal structure of NpNbMo.

Crystal system = cubic

Unit cell a=6.308 b=6.308 c=6.308 alpha=90.00 beta=90.00 gamma=90.00
Positions (direct):
Np: 0.000 0.000 0.000
Np: 0.000 0.500 0.500
Np: 0.500 0.000 0.500
Np: 0.500 0.500 0.000
Nb: 0.000 0.000 0.500
Nb: 0.000 0.500 0.000
Nb: 0.500 0.000 0.000
Nb: 0.500 0.500 0.500
Mo: 0.250 0.250 0.750
Mo: 0.250 0.750 0.250
Mo: 0.750 0.250 0.250
Mo: 0.750 0.750 0.750


Short version: (B), (A), most stable first.


(A)
The following is a DFT calculation (PBE) of an optimized crystal structure of SmNbMo.

Crystal system = cubic

Unit cell a=6.570 b=6.570 c=6.570 alpha=90.00 beta=90.00 gamma=90.00
Positions (direct):
Sm: 0.000 0.000 0.000
Sm: 0.000 0.500 0.500
Sm: 0.500 0.000 0.500
Sm: 0.500 0.500 0.000
Nb: 0.250 0.250 0.250
Nb: 0.250 0.750 0.750
Nb: 0.750 0.250 0.750
Nb: 0.750 0.750 0.250
Mo: 0.250 0.250 0.750
Mo: 0.250 0.750 0.250
Mo: 0.750 0.250 0.250
Mo: 0.750 0.750 0.750


(B)
The following is a DFT calculation (PBE) of an optimized crystal structure of SmNbMo.

Crystal system = cubic

Unit cell a=6.541 b=6.541 c=6.541 alpha=90.00 beta=90.00 gamma=90.00
Positions (direct):
Sm: 0.000 0.000 0.000
Sm: 0.000 0.500 0.500
Sm: 0.500 0.000 0.500
Sm: 0.500 0.500 0.000
Nb: 0.250 0.250 0.750
Nb: 0.250 0.750 0.250
Nb: 0.750 0.250 0.250
Nb: 0.750 0.750 0.750
Mo: 0.000 0.000 0.500
Mo: 0.000 0.500 0.000
Mo: 0.500 0.000 0.000
Mo: 0.500 0.500 0.500


Short version: (B), (A), most stable first.


(A)
The following is a DFT calculation (PBE) of an optimized crystal structure of UNbMo.

Crystal system = cubic

Unit cell a=6.356 b=6.356 c=6.356 alpha=90.00 beta=90.00 gamma=90.00
Positions (direct):
U: 0.000 0.000 0.000
U: 0.000 0.500 0.500
U: 0.500 0.000 0.500
U: 0.500 0.500 0.000
Nb: 0.000 0.000 0.500
Nb: 0.000 0.500 0.000
Nb: 0.500 0.000 0.000
Nb: 0.500 0.500 0.500
Mo: 0.250 0.250 0.750
Mo: 0.250 0.750 0.250
Mo: 0.750 0.250 0.250
Mo: 0.750 0.750 0.750


(B)
The following is a DFT calculation (PBE) of an optimized crystal structure of UNbMo.

Crystal system = cubic

Unit cell a=6.268 b=6.268 c=6.268 alpha=90.00 beta=90.00 gamma=90.00
Positions (direct):
U: 0.000 0.000 0.000
U: 0.000 0.500 0.500
U: 0.500 0.000 0.500
U: 0.500 0.500 0.000
Nb: 0.250 0.250 0.250
Nb: 0.250 0.750 0.750
Nb: 0.750 0.250 0.750
Nb: 0.750 0.750 0.250
Mo: 0.250 0.250 0.750
Mo: 0.250 0.750 0.250
Mo: 0.750 0.250 0.250
Mo: 0.750 0.750 0.750


Short version: (A), (B), most stable first.


(A)
The following is a DFT calculation (PBE) of an optimized crystal structure of NbMo2W.

Crystal system = orthorhombic

Unit cell a=6.396 b=6.403 c=3.199 alpha=90.00 beta=90.00 gamma=90.00
Positions (direct):
Nb: 0.000 0.000 0.000
Nb: 0.500 0.500 0.000
Mo: 0.250 0.250 0.500
Mo: 0.250 0.750 0.500
Mo: 0.750 0.250 0.500
Mo: 0.750 0.750 0.500
W: 0.000 0.500 0.000
W: 0.500 0.000 0.000


(B)
The following is a DFT calculation (PBE) of an optimized crystal structure of NbMo2W.

Crystal system = cubic

Unit cell a=6.399 b=6.399 c=6.399 alpha=90.00 beta=90.00 gamma=90.00
Positions (direct):
Nb: 0.000 0.000 0.000
Nb: 0.000 0.500 0.500
Nb: 0.500 0.000 0.500
Nb: 0.500 0.500 0.000
Mo: 0.250 0.250 0.250
Mo: 0.250 0.250 0.750
Mo: 0.250 0.750 0.250
Mo: 0.250 0.750 0.750
Mo: 0.750 0.250 0.250
Mo: 0.750 0.250 0.750
Mo: 0.750 0.750 0.250
Mo: 0.750 0.750 0.750
W: 0.000 0.000 0.500
W: 0.000 0.500 0.000
W: 0.500 0.000 0.000
W: 0.500 0.500 0.500


Short version: (B), (A), most stable first.


(A)
The following is a DFT calculation (PBE) of an optimized crystal structure of NbMo2W.

Crystal system = cubic

Unit cell a=6.399 b=6.399 c=6.399 alpha=90.00 beta=90.00 gamma=90.00
Positions (direct):
Nb: 0.000 0.000 0.000
Nb: 0.000 0.500 0.500
Nb: 0.500 0.000 0.500
Nb: 0.500 0.500 0.000
Mo: 0.250 0.250 0.250
Mo: 0.250 0.250 0.750
Mo: 0.250 0.750 0.250
Mo: 0.250 0.750 0.750
Mo: 0.750 0.250 0.250
Mo: 0.750 0.250 0.750
Mo: 0.750 0.750 0.250
Mo: 0.750 0.750 0.750
W: 0.000 0.000 0.500
W: 0.000 0.500 0.000
W: 0.500 0.000 0.000
W: 0.500 0.500 0.500


(B)
The following is a DFT calculation (PBE) of an optimized crystal structure of NbMo2W.

Crystal system = tetragonal

Unit cell a=4.526 b=4.526 c=3.199 alpha=90.00 beta=90.00 gamma=90.00
Positions (direct):
Nb: 0.000 0.000 0.000
Mo: 0.000 0.500 0.500
Mo: 0.500 0.000 0.500
W: 0.500 0.500 0.000


(C)
The following is a DFT calculation (PBE) of an optimized crystal structure of NbMo2W.

Crystal system = cubic

Unit cell a=6.399 b=6.399 c=6.399 alpha=90.00 beta=90.00 gamma=90.00
Positions (direct):
Nb: 0.000 0.000 0.000
Nb: 0.000 0.500 0.500
Nb: 0.500 0.000 0.500
Nb: 0.500 0.500 0.000
Mo: 0.000 0.000 0.500
Mo: 0.000 0.500 0.000
Mo: 0.250 0.250 0.250
Mo: 0.250 0.750 0.750
Mo: 0.500 0.000 0.000
Mo: 0.500 0.500 0.500
Mo: 0.750 0.250 0.750
Mo: 0.750 0.750 0.250
W: 0.250 0.250 0.750
W: 0.250 0.750 0.250
W: 0.750 0.250 0.250
W: 0.750 0.750 0.750


Short version: (A), (B), (C), most stable first.


(A)
The following is a DFT calculation (PBE) of an optimized crystal structure of NdMo.

Crystal system = hexagonal

Unit cell a=3.065 b=3.065 c=5.460 alpha=90.00 beta=90.00 gamma=120.00
Positions (direct):
Nd: 0.000 0.000 0.000
Mo: 0.333 0.667 0.500


(B)
The following is a DFT calculation (PBE) of an optimized crystal structure of NdMo.

Crystal system = cubic

Unit cell a=5.876 b=5.876 c=5.876 alpha=90.00 beta=90.00 gamma=90.00
Positions (direct):
Nd: 0.000 0.000 0.000
Nd: 0.000 0.500 0.500
Nd: 0.500 0.000 0.500
Nd: 0.500 0.500 0.000
Mo: 0.000 0.000 0.500
Mo: 0.000 0.500 0.000
Mo: 0.500 0.000 0.000
Mo: 0.500 0.500 0.500


Short version: (A), (B), most stable first.


(A)
The following is a DFT calculation (PBE) of an optimized crystal structure of NdMoOs.

Crystal system = cubic

Unit cell a=6.470 b=6.470 c=6.470 alpha=90.00 beta=90.00 gamma=90.00
Positions (direct):
Nd: 0.000 0.000 0.000
Nd: 0.000 0.500 0.500
Nd: 0.500 0.000 0.500
Nd: 0.500 0.500 0.000
Mo: 0.250 0.250 0.750
Mo: 0.250 0.750 0.250
Mo: 0.750 0.250 0.250
Mo: 0.750 0.750 0.750
Os: 0.250 0.250 0.250
Os: 0.250 0.750 0.750
Os: 0.750 0.250 0.750
Os: 0.750 0.750 0.250


(B)
The following is a DFT calculation (PBE) of an optimized crystal structure of NdMoOs.

Crystal system = hexagonal

Unit cell a=5.010 b=5.010 c=2.741 alpha=90.00 beta=90.00 gamma=120.00
Positions (direct):
Nd: 0.000 0.000 0.000
Mo: 0.667 0.333 0.000
Os: 0.333 0.667 0.000


Short version: (B), (A), most stable first.